Entry 1:
This record from Alexandria via LeMat-Bulk describes a geometry-optimized CsTaTe4 structure. The functional is GGA-PBE.

```
CsTaTe4
1.0
5.9404 -0.0126 1.0603
2.1564 8.6020 4.9737
-0.1955 0.5203 9.5777
Te Cs Ta
8 2 2
direct
0.4516 0.2346 0.7193
0.1177 0.7064 0.1187
0.8823 0.2936 0.8813
0.0484 0.0460 0.7193
0.6177 0.8250 0.8813
0.3823 0.1750 0.1187
0.9516 0.9540 0.2807
0.5484 0.7654 0.2807
0.7500 0.3618 0.2765
0.2500 0.6382 0.7235
0.7500 0.0000 0.9999
0.2500 0.0000 0.0001
```

Calculated values
- Formation energy from raw total energies: -0.422 eV/atom
- Symmetry: C2/c, No. 15
- DOS(E_F): 6.6 states/eV per cell
- Density: 5.74 g/cm3
- Total moment: 0.0 μB per formula unit

---

Entry 2:
This record from Alexandria via LeMat-Bulk describes a geometry-optimized CsTaTe3 structure. The functional is GGA-PBE.

```
CsTaTe3
1.0
4.1481 -7.1847 0.0000
4.1481 7.1847 0.0000
0.0000 0.0000 6.3695
Te Ta Cs
6 2 2
direct
0.3218 0.1609 0.7407
0.8391 0.1609 0.7407
0.1609 0.3218 0.2407
0.1609 0.8391 0.2407
0.6782 0.8391 0.2407
0.8391 0.6782 0.7407
0.0000 0.0000 0.9839
0.0000 0.0000 0.4839
0.6667 0.3333 0.2436
0.3333 0.6667 0.7436
```

Calculated values
- Formation energy from raw total energies: -0.604 eV/atom
- Symmetry: P6_3mc, No. 186
- DOS(E_F): 3.7 states/eV per cell
- Density: 6.09 g/cm3
- Total moment: 0.0 μB per formula unit

---

Entry 3:
This record from Alexandria via LeMat-Bulk describes a geometry-optimized Cs3TaTl2Te6 structure. The functional is GGA-PBE.

```
Cs3TaTl2Te6
1.0
-5.3962 5.6745 -1.5733
-0.7499 -4.4993 6.5565
6.7273 5.3634 2.8671
Te Tl Cs Ta
6 2 3 1
direct
0.6465 0.9391 0.8188
0.2241 0.2241 0.8092
0.0609 0.3535 0.1812
0.7759 0.7759 0.1908
0.3535 0.0609 0.1812
0.9391 0.6465 0.8188
0.3372 0.6628 0.0000
0.6628 0.3372 0.0000
0.5000 0.5000 0.5000
0.1818 0.8182 0.5000
0.8182 0.1818 0.5000
0.0000 0.0000 0.0000
```

Calculated values
- Formation energy from raw total energies: -0.538 eV/atom
- Symmetry: C2/m, No. 12
- DOS(E_F): 5.1 states/eV per cell
- Density: 6.06 g/cm3
- Total moment: 0.0 μB per formula unit

---

Entry 4:
This record from Alexandria via LeMat-Bulk describes a geometry-optimized Cs2TaTl3Te6 structure. The functional is GGA-PBE.

```
Cs2TaTl3Te6
1.0
-5.0645 7.5262 -3.0858
-1.5685 -5.1487 7.9275
6.5732 3.5541 2.0038
Tl Te Ta Cs
3 6 1 2
direct
0.1117 0.8883 0.5000
0.5000 0.5000 0.5000
0.8883 0.1117 0.5000
0.9178 0.6820 0.7683
0.7738 0.7738 0.1887
0.6820 0.9178 0.7683
0.2262 0.2262 0.8113
0.0822 0.3180 0.2317
0.3180 0.0822 0.2317
0.0000 0.0000 0.0000
0.6844 0.3156 0.0000
0.3156 0.6844 0.0000
```

Calculated values
- Formation energy from raw total energies: -0.447 eV/atom
- Symmetry: C2/m, No. 12
- DOS(E_F): 8.0 states/eV per cell
- Density: 5.79 g/cm3
- Total moment: 0.0 μB per formula unit

---

Entry 5:
This record from Alexandria via LeMat-Bulk describes a geometry-optimized CsTa2Ti structure. The functional is GGA-PBE.

```
CsTa2Ti
1.0
0.0000 3.4684 3.4684
3.4684 0.0000 3.4684
3.4684 3.4684 0.0000
Ta Ti Cs
2 1 1
direct
0.7500 0.7500 0.7500
0.2500 0.2500 0.2500
0.0000 0.0000 0.0000
0.5000 0.5000 0.5000
```

Calculated values
- Symmetry: Fm-3m, No. 225
- DOS(E_F): 6.5 states/eV per cell
- Density: 10.80 g/cm3
- E_form: 1.747 eV/atom
- Total moment: 0.0 μB per formula unit

---

Entry 6:
This record from Alexandria via LeMat-Bulk describes a geometry-optimized CsTa2Ti structure. The functional is GGA-PBE.

```
CsTa2Ti
1.0
-2.4829 3.9979 -0.5913
-3.4764 -2.4667 -2.0805
-7.2459 -0.5917 7.4021
Cs Ta Ti
2 4 2
direct
0.7500 0.2500 0.5000
0.0000 0.0000 0.0000
0.8750 0.5084 0.7500
0.2584 0.1250 0.2500
0.4916 0.6250 0.2500
0.3750 0.7416 0.7500
0.5000 0.5000 0.0000
0.2500 0.7500 0.5000
```

Calculated values
- Symmetry: I-42d, No. 122
- DOS(E_F): 8.5 states/eV per cell
- Density: 8.16 g/cm3
- E_form: 1.871 eV/atom
- Total moment: 0.0 μB per formula unit

---

Entry 7:
This record from Alexandria via LeMat-Bulk describes a geometry-optimized CsTaTl2 structure. The functional is GGA-PBE.

```
CsTaTl2
1.0
6.7776 0.0000 0.0000
0.0000 6.7776 0.0000
3.3888 3.3888 8.4990
Tl Cs Ta
4 2 2
direct
0.8160 0.1250 0.2500
0.3750 0.1840 0.7500
0.9340 0.6250 0.2500
0.8750 0.0660 0.7500
0.5000 0.5000 0.0000
0.2500 0.7500 0.5000
0.0000 0.0000 0.0000
0.7500 0.2500 0.5000
```

Calculated values
- Symmetry: I-42d, No. 122
- DOS(E_F): 6.4 states/eV per cell
- Density: 6.15 g/cm3
- E_form: 0.918 eV/atom
- Total moment: 0.0 μB per formula unit

---

Entry 8:
This record from Alexandria via LeMat-Bulk describes a geometry-optimized Cs2TaTl structure. The functional is GGA-PBE.

```
Cs2TaTl
1.0
4.6549 0.0000 0.0000
0.0000 4.6549 0.0000
2.3275 2.3275 13.3741
Ta Cs Tl
2 4 2
direct
0.5000 0.5000 0.0000
0.2500 0.7500 0.5000
0.8750 0.8728 0.7500
0.3750 0.3772 0.7500
0.1272 0.6250 0.2500
0.6228 0.1250 0.2500
0.7500 0.2500 0.5000
0.0000 0.0000 0.0000
```

Calculated values
- Symmetry: I-42d, No. 122
- DOS(E_F): 1.6 states/eV per cell
- Density: 7.46 g/cm3
- E_form: 1.386 eV/atom
- Total moment: 2.0 μB per formula unit

---

Entry 9:
This record from Alexandria via LeMat-Bulk describes a geometry-optimized Cs2TaTl structure. The functional is GGA-PBE.

```
Cs2TaTl
1.0
6.3607 0.0000 0.0000
3.1803 5.5085 0.0000
3.1803 1.8362 5.1935
Cs Tl Ta
2 1 1
direct
0.2500 0.2500 0.2500
0.7500 0.7500 0.7500
0.5000 0.5000 0.5000
0.0000 0.0000 0.0000
```

Calculated values
- Symmetry: Fm-3m, No. 225
- DOS(E_F): 8.0 states/eV per cell
- Density: 5.94 g/cm3
- E_form: 1.480 eV/atom
- Total moment: 4.6 μB per formula unit

---

Entry 10:
This record from Alexandria via LeMat-Bulk describes a geometry-optimized CsTa3V structure. The functional is GGA-PBE.

```
CsTa3V
1.0
4.9158 0.0000 0.0000
0.0000 4.9158 0.0000
0.0000 0.0000 4.9158
Ta Cs V
3 1 1
direct
0.0000 0.5000 0.0000
0.0000 0.0000 0.5000
0.5000 0.0000 0.0000
0.5000 0.5000 0.5000
0.0000 0.0000 0.0000
```

Calculated values
- Symmetry: Pm-3m, No. 221
- DOS(E_F): 5.6 states/eV per cell
- Density: 10.16 g/cm3
- E_form: 1.726 eV/atom
- Total moment: 0.0 μB per formula unit

---

Entry 11:
This record from Alexandria via LeMat-Bulk describes a geometry-optimized CsTa2V structure. The functional is GGA-PBE.

```
CsTa2V
1.0
4.7067 0.0000 0.0000
0.0000 4.7067 0.0000
2.3534 2.3534 9.7505
Cs Ta V
2 4 2
direct
0.0000 0.0000 0.0000
0.7500 0.2500 0.5000
0.4956 0.1250 0.2500
0.3750 0.5044 0.7500
0.8750 0.7456 0.7500
0.2544 0.6250 0.2500
0.5000 0.5000 0.0000
0.2500 0.7500 0.5000
```

Calculated values
- Symmetry: I-42d, No. 122
- DOS(E_F): 8.5 states/eV per cell
- Density: 8.39 g/cm3
- E_form: 2.011 eV/atom
- Total moment: 1.8 μB per formula unit

---

Entry 12:
This record from Alexandria via LeMat-Bulk describes a geometry-optimized Cs2TaV structure. The functional is GGA-PBE.

```
Cs2TaV
1.0
0.0000 4.2332 4.2332
4.2332 0.0000 4.2332
4.2332 4.2332 0.0000
V Cs Ta
1 2 1
direct
0.0000 0.0000 0.0000
0.2500 0.2500 0.2500
0.7500 0.7500 0.7500
0.5000 0.5000 0.5000
```

Calculated values
- Symmetry: Fm-3m, No. 225
- DOS(E_F): 12.6 states/eV per cell
- Density: 5.45 g/cm3
- E_form: 2.654 eV/atom
- Total moment: 3.2 μB per formula unit

---

The highest density belongs to which entry?
number 5

---

Among the records above, which one has the highest density?
number 5

---

Look up the total moment of the eleventh one.
1.8 μB per formula unit

---

Repeat the third record exactly.
This record from Alexandria via LeMat-Bulk describes a geometry-optimized Cs3TaTl2Te6 structure. The functional is GGA-PBE.

```
Cs3TaTl2Te6
1.0
-5.3962 5.6745 -1.5733
-0.7499 -4.4993 6.5565
6.7273 5.3634 2.8671
Te Tl Cs Ta
6 2 3 1
direct
0.6465 0.9391 0.8188
0.2241 0.2241 0.8092
0.0609 0.3535 0.1812
0.7759 0.7759 0.1908
0.3535 0.0609 0.1812
0.9391 0.6465 0.8188
0.3372 0.6628 0.0000
0.6628 0.3372 0.0000
0.5000 0.5000 0.5000
0.1818 0.8182 0.5000
0.8182 0.1818 0.5000
0.0000 0.0000 0.0000
```

Calculated values
- Formation energy from raw total energies: -0.538 eV/atom
- Symmetry: C2/m, No. 12
- DOS(E_F): 5.1 states/eV per cell
- Density: 6.06 g/cm3
- Total moment: 0.0 μB per formula unit